1.
The following is a PBE-GGA calculation of crystalline SmIn6Ir at its relaxed geometry, from the Alexandria database.

```
SmIn6Ir
1.0
0.000 5.753 5.753
5.753 0.000 5.753
5.753 5.753 0.000
Sm In Ir
1 6 1
Cartesian
0.000 0.000 0.000
5.753 5.753 3.137
5.753 3.137 5.753
8.370 5.753 5.753
3.137 5.753 5.753
5.753 8.370 5.753
5.753 5.753 8.370
5.753 5.753 5.753
```

## Properties
energy relative to the elements	313.3	meV/atom
theoretical density	4.50	g/cm³
Fermi-level density of states	10.49	states/eV/cell


2.
The following is a PBE-GGA calculation of crystalline NpAgAuCl6 at its relaxed geometry, from the Alexandria database.

```
NpAgAuCl6
1.0
6.713 0.000 0.000
-3.357 5.814 0.000
0.000 0.000 12.409
Np Ag Au Cl
2 2 2 12
Cartesian
0.000 3.876 3.102
3.357 1.938 9.307
0.000 3.876 9.307
3.357 1.938 3.102
0.000 0.000 0.000
0.000 0.000 6.204
-1.045 2.004 1.566
-2.144 3.906 4.638
1.045 2.004 4.638
-1.098 5.717 1.566
2.258 0.097 7.771
1.213 1.907 10.842
2.144 3.906 1.566
1.098 5.717 4.638
4.455 0.097 10.842
2.311 3.810 7.771
5.500 1.907 7.771
4.402 3.810 10.842
```

## Properties
theoretical density	5.17	g/cm³
Fermi-level density of states	12.04	states/eV/cell
uncorrected energy	-4.311	eV per atom


3.
The following is a PBE-GGA calculation of crystalline Sm3DySe4 at its relaxed geometry, from the Alexandria database.

```
Sm3DySe4
1.0
4.199 -5.870 0.000
4.199 5.870 0.000
0.000 0.000 4.097
Sm Dy Se
3 1 4
Cartesian
0.000 0.000 0.000
2.100 2.935 2.049
2.100 -2.935 2.049
4.199 0.000 0.000
4.199 2.898 0.000
2.153 0.000 2.049
6.246 0.000 2.049
4.199 -2.898 0.000
```

## Properties
theoretical density	7.64	g/cm³
Fermi-level density of states	4.76	states/eV/cell
uncorrected energy	-5.885	eV per atom


4.
The following is a PBE-GGA calculation of crystalline Cu2WBr at its relaxed geometry, from the Alexandria database.

```
Cu2WBr
1.0
0.000 3.114 3.114
3.114 0.000 3.114
3.114 3.114 0.000
Cu W Br
2 1 1
Cartesian
0.000 0.000 0.000
1.557 1.557 1.557
3.114 3.114 3.114
4.672 4.672 4.672
```

## Properties
energy above the lowest structure with this stoichiometry	0.510	eV per atom
theoretical density	10.74	g/cm³
Fermi-level density of states	2.50	states/eV/cell


5.
The following is a PBE-GGA calculation of crystalline TbNdTlZn at its relaxed geometry, from the Alexandria database.

```
TbNdTlZn
1.0
3.723 0.000 0.000
0.000 3.723 0.000
0.000 0.000 7.608
Tb Nd Tl Zn
1 1 1 1
Cartesian
0.000 0.000 0.000
0.000 0.000 3.467
1.862 1.862 5.619
1.862 1.862 1.624
```

## Properties
energy relative to the elements	-353.2	meV/atom
energy above the lowest structure with this stoichiometry	0.000	eV per atom
theoretical density	9.02	g/cm³
Fermi-level density of states	3.57	states/eV/cell


6.
The following is a PBE-GGA calculation of crystalline Tb3In4Cu2 at its relaxed geometry, from the Alexandria database.

```
Tb3In4Cu2
1.0
5.485 -2.360 0.000
5.485 2.360 0.000
-3.764 0.000 8.138
Tb In Cu
3 4 2
Cartesian
0.000 0.000 0.000
2.279 0.000 2.853
4.928 0.000 5.285
-0.949 0.000 2.967
-0.485 0.000 7.487
7.691 0.000 0.651
8.155 0.000 5.170
1.677 0.000 5.929
5.529 0.000 2.209
```

## Properties
energy relative to the elements	-391.0	meV/atom
theoretical density	8.38	g/cm³
Fermi-level density of states	5.15	states/eV/cell


Copy entry 3 word for word.
The following is a PBE-GGA calculation of crystalline Sm3DySe4 at its relaxed geometry, from the Alexandria database.

```
Sm3DySe4
1.0
4.199 -5.870 0.000
4.199 5.870 0.000
0.000 0.000 4.097
Sm Dy Se
3 1 4
Cartesian
0.000 0.000 0.000
2.100 2.935 2.049
2.100 -2.935 2.049
4.199 0.000 0.000
4.199 2.898 0.000
2.153 0.000 2.049
6.246 0.000 2.049
4.199 -2.898 0.000
```

## Properties
theoretical density	7.64	g/cm³
Fermi-level density of states	4.76	states/eV/cell
uncorrected energy	-5.885	eV per atom


Which formula does entry 5 have? TbNdTlZn